Here is crystalline MgCu2 at its relaxed geometry from Alexandria via LeMat-Bulk. Energies are from PBE.

Calculated formation energy, eV/atom: -0.06
Volume, Å³/cell: 339.3
DOS(E_F), states/eV per cell: 7.0
Total DFT energy (no corrections), eV/atom: -3.325

abc: 3.8234 3.8234 23.2090
angles: 90.00 90.00 90.00
Closest atoms and distances in Å follow each position.
Space group I4_1/amd (No. 141, origin choice 2)
Symmetry-distinct sites (fractional):
Mg (0.0000, 0.2500, 0.2958) x8  10 Cu 2.64-2.84, 2 Mg 2.86
Cu (0.0000, 0.2500, 0.1256) x8  4 Mg 2.64-2.66, 8 Cu 2.66-2.70
Cu (0.0000, 0.2500, 0.7949) x8  6 Cu 2.66-2.83, 6 Mg 2.70-2.84



Here is crystalline BaCaCd2Cl8 at its relaxed geometry from Alexandria via LeMat-Bulk. Energies are from PBE.

Volume, Å³/cell: 366.5
DOS(E_F), states/eV per cell: 0.0
Total DFT energy (no corrections), eV/atom: -3.385
Formation energy without anion corrections, meV per atom: -1674

abc: 6.7132 6.7132 9.3904
angles: 90.00 90.00 120.00
Closest atoms and distances in Å follow each position.
Space group P-3 (No. 147)
Symmetry-distinct sites (fractional):
Ba (0.0000, 0.0000, 0.0000) x1  12 Cl 3.53-3.88
Ca (0.0000, 0.0000, 0.5000) x1  6 Cl 2.73
Cd (0.3333, 0.6667, 0.7459) x2  4 Cl 2.47-2.49
Cl (0.0203, 0.7073, 0.3067) x6  1 Cd 2.49, 1 Ca 2.73
Cl (0.3333, 0.6667, 0.0089) x2  1 Cd 2.47



Here is crystalline YMn4Mo at its relaxed geometry from Alexandria via LeMat-Bulk. Energies are from PBE.

Calculated formation energy, eV/atom: 0.16
Volume, Å³/cell: 341.1
DOS(E_F), states/eV per cell: 25.8
Total DFT energy (no corrections), eV/atom: -8.837

abc: 6.9870 6.9870 6.9870
angles: 90.00 90.00 90.00
Closest atoms and distances in Å follow each position.
Space group F-43m (No. 216)
Symmetry-distinct sites (fractional):
Y (0.0000, 0.0000, 0.0000) x4  12 Mn 2.90, 4 Mo 3.03
Mn (0.1245, 0.1245, 0.6245) x16  6 Mn 2.46-2.48
Mo (0.2500, 0.2500, 0.2500) x4  12 Mn 2.90, 4 Y 3.03



Here is crystalline FeTc2Ru at its relaxed geometry from Alexandria via LeMat-Bulk. Energies are from PBE.

Calculated formation energy, eV/atom: 0.24
Volume, Å³/cell: 224.1
DOS(E_F), states/eV per cell: 19.5
Total DFT energy (no corrections), eV/atom: -9.376
Energy relative to the lowest polymorph listed for this composition, meV per atom: 237

abc: 6.0740 6.0740 6.0740
angles: 90.00 90.00 90.00
Closest atoms and distances in Å follow each position.
Space group F-43m (No. 216)
Symmetry-distinct sites (fractional):
Fe (0.0000, 0.0000, 0.0000) x4  4 Tc 2.63, 4 Ru 2.63
Tc (0.0000, 0.0000, 0.5000) x4  4 Tc 2.63, 4 Ru 2.63
Tc (0.2500, 0.2500, 0.2500) x4  4 Fe 2.63, 4 Tc 2.63
Ru (0.2500, 0.2500, 0.7500) x4  4 Fe 2.63, 4 Tc 2.63



Here is crystalline CeH4 at its relaxed geometry from Alexandria via LeMat-Bulk. Energies are from PBE.

Volume, Å³/cell: 71.7
DOS(E_F), states/eV per cell: 1.7
Total DFT energy (no corrections), eV/atom: -3.590
Energy relative to the lowest polymorph listed for this composition, meV per atom: 552

abc: 4.1550 4.1550 4.1550
angles: 90.00 90.00 90.00
Closest atoms and distances in Å follow each position.
Space group Pm-3m (No. 221)
Symmetry-distinct sites (fractional):
Ce (0.0000, 0.0000, 0.0000) x1  6 H 2.08
H (0.0000, 0.0000, 0.5000) x3  2 Ce 2.08
H (0.5000, 0.5000, 0.5000) x1  12 H 2.94



Here is crystalline Ag3AuF8 at its relaxed geometry from Alexandria via LeMat-Bulk. Energies are from PBE.

Volume, Å³/cell: 431.7
DOS(E_F), states/eV per cell: 8.2
Total DFT energy (no corrections), eV/atom: -3.292
Formation energy without anion corrections, meV per atom: -1059

abc: 5.4575 11.8944 6.6506
angles: 90.00 90.00 90.00
Closest atoms and distances in Å follow each position.
Space group C222 (No. 21)
Symmetry-distinct sites (fractional):
Ag (0.0000, 0.0000, 0.0000) x2  6 F 2.27-2.35
Ag (0.2500, 0.2500, 0.7480) x4  4 F 2.15-2.27
Au (0.0000, 0.0000, 0.5000) x2  4 F 1.97
F (0.0000, 0.1909, 0.0000) x4  3 Ag 2.27
F (0.0000, 0.2324, 0.5000) x4  2 Ag 2.15
F (0.2505, 0.0052, 0.7130) x8  1 Au 1.97



Here is crystalline Nd6SiC2Br3 at its relaxed geometry from Alexandria via LeMat-Bulk. Energies are from PBE.

Volume, Å³/cell: 612.7
DOS(E_F), states/eV per cell: 10.4
Total DFT energy (no corrections), eV/atom: -5.714
Formation energy without anion corrections, meV per atom: -923

abc: 18.8326 3.9507 8.7683
angles: 90.00 110.08 90.00
Closest atoms and distances in Å follow each position.
Space group C2/m (No. 12)
Symmetry-distinct sites (fractional):
Nd (0.0261, 0.0000, 0.2492) x4  1 C 2.56, 2 Si 2.86
Nd (0.1654, 0.5000, 0.1411) x4  2 C 2.61
Nd (0.1832, 0.5000, 0.5502) x4  3 C 2.59-2.66
Si (0.0000, 0.5000, 0.0000) x2  6 Nd 2.86-2.93
C (0.1707, 0.0000, 0.3387) x4  6 Nd 2.56-2.66
Br (0.0000, 0.5000, 0.5000) x2  6 Nd 3.12-3.32
Br (0.1640, 0.0000, 0.8306) x4  6 Nd 3.14-3.40



Here is crystalline CaPm3In2 at its relaxed geometry from Alexandria via LeMat-Bulk. Energies are from PBE.

Calculated formation energy, eV/atom: -0.23
Volume, Å³/cell: 761.8
DOS(E_F), states/eV per cell: 23.0
Total DFT energy (no corrections), eV/atom: -3.848
Energy relative to the lowest polymorph listed for this composition, meV per atom: 158

abc: 16.6032 5.5294 9.1390
angles: 90.00 114.77 90.00
Closest atoms and distances in Å follow each position.
Space group C2/m (No. 12)
Symmetry-distinct sites (fractional):
Ca (0.1381, 0.0000, 0.2001) x4  5 In 3.32-3.53, 3 Pm 3.63-3.67
Pm (0.0597, 0.0000, 0.7164) x4  3 In 3.33-3.42, 3 Pm 3.55-3.61, 1 Ca 3.67
Pm (0.1173, 0.5000, 0.5362) x4  4 In 3.05-3.34
Pm (0.1908, 0.5000, 0.9976) x4  2 In 3.20-3.29, 2 Pm 3.38
In (0.0212, 0.5000, 0.1688) x4  1 In 2.86, 2 Pm 3.05-3.20
In (0.2273, 0.0000, 0.6061) x4  5 Pm 3.23-3.34, 3 Ca 3.37-3.53



Here is crystalline LaGeAu2 at its relaxed geometry from Alexandria via LeMat-Bulk. Energies are from PBE.

Calculated formation energy, eV/atom: -0.58
Volume, Å³/cell: 280.4
DOS(E_F), states/eV per cell: 8.1
Total DFT energy (no corrections), eV/atom: -4.610

abc: 4.5663 4.5663 15.5269
angles: 90.00 90.00 120.00
Closest atoms and distances in Å follow each position.
Space group R-3m (No. 166, hexagonal axes)
Symmetry-distinct sites (fractional):
La (0.0000, 0.0000, 0.0000) x3  8 Au 3.15-3.45
Ge (0.0000, 0.0000, 0.5000) x3  6 Au 2.77
Au (0.0000, 0.0000, 0.2221) x6  3 Ge 2.77



Here is crystalline CsTeBr3 at its relaxed geometry from Alexandria via LeMat-Bulk. Energies are from PBE.

Volume, Å³/cell: 452.5
DOS(E_F), states/eV per cell: 9.3
Total DFT energy (no corrections), eV/atom: -2.359
Formation energy without anion corrections, meV per atom: -556

abc: 7.5264 7.5265 9.5920
angles: 66.95 66.97 90.00
Closest atoms and distances in Å follow each position.
Space group P-1 (No. 2)
Symmetry-distinct sites (fractional):
Cs (0.2502, 0.2500, 0.0000) x2  4 Br 3.79
Te (0.0841, 0.5841, 0.3316) x2  1 Te 2.69
Br (0.2012, 0.8011, 0.4996) x2  2 Te 3.04
Br (0.2784, 0.7786, 0.9426) x2  1 Te 3.11
Br (0.3012, 0.2991, 0.4996) x2  2 Te 3.04



Here is crystalline Tl2GaF6 at its relaxed geometry from Alexandria via LeMat-Bulk. Energies are from PBE.

Volume, Å³/cell: 550.7
DOS(E_F), states/eV per cell: 24.9
Total DFT energy (no corrections), eV/atom: -4.184
Formation energy without anion corrections, meV per atom: -2074

abc: 8.1965 8.1965 8.1965
angles: 90.00 90.00 90.00
Closest atoms and distances in Å follow each position.
Space group Fm-3m (No. 225)
Symmetry-distinct sites (fractional):
Tl (0.2500, 0.2500, 0.2500) x8  12 F 2.90
Ga (0.0000, 0.0000, 0.0000) x4  6 F 1.92
F (0.0000, 0.0000, 0.2339) x24  1 Ga 1.92



Here is crystalline PrAl3ZnCu at its relaxed geometry from Alexandria via LeMat-Bulk. Energies are from PBE.

Calculated formation energy, eV/atom: -0.15
Volume, Å³/cell: 461.8
DOS(E_F), states/eV per cell: 9.5
Total DFT energy (no corrections), eV/atom: -3.711

abc: 6.1812 12.6667 5.8986
angles: 90.00 90.00 90.00
Closest atoms and distances in Å follow each position.
Space group Cmcm (No. 63)
Symmetry-distinct sites (fractional):
Pr (0.0000, 0.2100, 0.2500) x4  1 Cu 2.79, 2 Zn 3.04
Al (0.0000, 0.3652, 0.7500) x4  1 Cu 2.59, 1 Zn 2.70, 4 Al 2.88
Al (0.2105, 0.0000, 0.0000) x8  2 Cu 2.48, 1 Al 2.60, 2 Zn 2.75
Zn (0.0000, 0.1520, 0.7500) x4  5 Al 2.70-2.75
Cu (0.0000, 0.4300, 0.2500) x4  5 Al 2.48-2.59



Look up the DOS(E_F) of the fifth one. 1.7 states/eV per cell